The following is a DFT calculation (meta-GGA SCAN) of TlP2AuS at its PBEsol-relaxed geometry.

Computed properties:
Crystal system: tetragonal

Cell lengths 5.035, 5.035, 4.932 Å; angles 90.00, 90.00, 90.00 degrees
Fractional coordinates of all 5 atoms:
Tl1 0.000 0.000 0.000
P1 0.000 0.500 0.000
P2 0.500 0.000 0.000
Au1 0.500 0.500 0.500
S1 0.000 0.000 0.500

---

The following is a DFT calculation (meta-GGA SCAN) of SbP2Au at its PBEsol-relaxed geometry.

Computed properties:
Crystal system: orthorhombic

Cell lengths 3.448, 5.339, 8.033 Å; angles 90.00, 90.00, 90.00 degrees
Fractional coordinates of all 8 atoms:
Sb1 0.000 0.000 0.000
Sb2 0.000 0.500 0.500
P1 0.000 0.000 0.482
P2 0.000 0.500 0.982
P3 0.500 0.000 0.272
P4 0.500 0.500 0.772
Au1 0.500 0.000 0.727
Au2 0.500 0.500 0.227

---

The following is a DFT calculation (meta-GGA SCAN) of SbP2Au at its PBEsol-relaxed geometry.

Computed properties:
Crystal system: cubic

Cell lengths 6.612, 6.612, 6.612 Å; angles 90.00, 90.00, 90.00 degrees
Fractional coordinates of all 16 atoms:
Sb1 0.000 0.000 0.000
Sb2 0.000 0.500 0.500
Sb3 0.500 0.000 0.500
Sb4 0.500 0.500 0.000
P1 0.000 0.000 0.500
P2 0.000 0.500 0.000
P3 0.250 0.250 0.250
P4 0.250 0.750 0.750
P5 0.500 0.000 0.000
P6 0.500 0.500 0.500
P7 0.750 0.250 0.750
P8 0.750 0.750 0.250
Au1 0.250 0.250 0.750
Au2 0.250 0.750 0.250
Au3 0.750 0.250 0.250
Au4 0.750 0.750 0.750

---

The following is a DFT calculation (meta-GGA SCAN) of SbPAu2 at its PBEsol-relaxed geometry.

Computed properties:
Crystal system: tetragonal

Cell lengths 3.958, 3.958, 9.589 Å; angles 90.00, 90.00, 90.00 degrees
Fractional coordinates of all 8 atoms:
Sb1 0.000 0.000 0.000
Sb2 0.500 0.500 0.500
P1 0.000 0.000 0.500
P2 0.500 0.500 0.000
Au1 0.000 0.500 0.250
Au2 0.000 0.500 0.750
Au3 0.500 0.000 0.250
Au4 0.500 0.000 0.750

---

The calculation returns the following formation energy without anion corrections values, one per record and in order: 1.589; 0.163; 0.697; 0.375 eV per atom.